[1]
DFT (PBE with a Hubbard U) results for a relaxed CrH2O crystal.

The structure in POSCAR format:
```
CrH2O
1.0
-1.4273 1.4273 7.9772
1.4273 -1.4273 7.9772
1.4273 1.4273 -7.9772
Cr H O
2 4 2
Direct
0.3750 0.6250 0.7500
0.6250 0.3750 0.2500
0.0000 0.5000 0.5000
0.5000 0.0000 0.0000
0.5000 0.5000 0.0000
0.5000 0.5000 0.5000
0.1250 0.8750 0.2500
0.8750 0.1250 0.7500
```

Energy above the lowest structure with this stoichiometry = 0.00 eV/f.u.
VASP energy = -5.1182 eV per atom
Total moment = 3.332 μB per formula unit

[2]
DFT (PBE with a Hubbard U) results for a relaxed CrH3O crystal.

The structure in POSCAR format:
```
CrH3O
1.0
3.4483 0.0000 0.0000
0.0000 3.4483 0.0000
0.0000 0.0000 3.4483
Cr H O
1 3 1
Direct
0.0000 0.0000 0.0000
0.0000 0.0000 0.5000
0.0000 0.5000 0.0000
0.5000 0.0000 0.0000
0.5000 0.5000 0.5000
```

Energy above the lowest structure with this stoichiometry = 0.42 eV/f.u.
VASP energy = -3.6979 eV per atom
Total moment = 1.000 μB per formula unit